# meta-GGA SCAN DyMg, PBEsol geometry
# **Space group**: Pm-3m
# **Size of the total moment**: 0.0062 μB per atom
# **DOS at the Fermi energy**: 2.5 states/eV per cell
# **Volume**: 52 Å³ per cell
# **Formation energy from the elements**: -0.073 eV/atom
# **Mass density**: 5.953 g/cm3
data_DyMg
_chemical_formula_sum 'Dy1 Mg1'
_symmetry_space_group_name_H-M 'P 1'
_symmetry_Int_Tables_number 1
_cell_length_a 3.7351
_cell_length_b 3.7351
_cell_length_c 3.7351
_cell_angle_alpha 90.00
_cell_angle_beta 90.00
_cell_angle_gamma 90.00
loop_
_symmetry_equiv_pos_as_xyz
'x,y,z'
loop_
_atom_site_label
_atom_site_type_symbol
_atom_site_fract_x
_atom_site_fract_y
_atom_site_fract_z
_atom_site_occupancy
Mg1 Mg 0.0000 0.0000 0.0000 1
Dy1 Dy 0.5000 0.5000 0.5000 1